Li2Pb2S3 | PBE-GGA | relaxed

Volume = 23.45 A^3/atom
Spin magnetization = 0.0 Bohr magnetons per cell
Formation energy (no corrections) = -789 meV/atom
E above lowest polymorph = 60.8 meV/atom

Unit cell a=6.6048 b=7.6191 c=7.5647 alpha=90.00 beta=120.40 gamma=90.00
Space group P2_1/c (No. 14)
One atom of each set of equivalent atoms:
1 Li 0.1331 0.1247 0.4290
2 Pb 0.3653 0.6667 0.6077
3 S 0.1791 0.0864 0.7911
4 S 0.5000 0.0000 0.5000



LiPbS | PBE-GGA | relaxed

Volume = 22.50 A^3/atom
Spin magnetization = 0.0 Bohr magnetons per cell
Formation energy (no corrections) = -654 meV/atom
E above lowest polymorph = 42.3 meV/atom

Unit cell a=3.6964 b=3.7440 c=19.5066 alpha=90.00 beta=90.00 gamma=90.00
Space group Imm2 (No. 44)
One atom of each set of equivalent atoms:
1 Li 0.0000 0.0000 0.0000
2 Li 0.0000 0.5000 0.1053
3 Pb 0.0000 0.0000 0.3832
4 Pb 0.0000 0.0000 0.7563
5 S 0.0000 0.0000 0.1888
6 S 0.0000 0.0000 0.5201



Li2Pb3S4 | PBE-GGA | relaxed

Volume = 24.29 A^3/atom
Spin magnetization = 0.0 Bohr magnetons per cell
Formation energy (no corrections) = -727 meV/atom
E above lowest polymorph = 28.9 meV/atom

Unit cell a=12.2360 b=9.9909 c=7.1780 alpha=90.00 beta=94.87 gamma=90.00
Space group C2/c (No. 15)
One atom of each set of equivalent atoms:
1 Li 0.2015 0.1227 0.4250
2 Pb 0.0000 0.0989 0.7500
3 Pb 0.1255 0.3651 0.1136
4 S 0.1004 0.3303 0.5026
5 S 0.1558 0.0772 0.0951



LiPb4S5 | PBE-GGA | relaxed

Volume = 24.86 A^3/atom
Spin magnetization = 0.0 Bohr magnetons per cell
Formation energy (no corrections) = -570 meV/atom

Unit cell a=9.2203 b=9.2203 c=5.8475 alpha=90.00 beta=90.00 gamma=90.00
Space group I4 (No. 79)
One atom of each set of equivalent atoms:
1 Li 0.0000 0.0000 0.0000
2 Pb 0.0974 0.7039 0.4700
3 S 0.0000 0.0000 0.4545
4 S 0.0964 0.7088 0.9686



LiPbS | PBE-GGA | relaxed

Volume = 22.32 A^3/atom
Spin magnetization = 0.0 Bohr magnetons per cell
Formation energy (no corrections) = -665 meV/atom
E above lowest polymorph = 31.5 meV/atom

Unit cell a=3.5972 b=3.6196 c=10.2873 alpha=90.00 beta=90.00 gamma=90.00
Space group Pmmn (No. 59, origin choice 2)
One atom of each set of equivalent atoms:
1 Li 0.2500 0.2500 0.0937
2 Pb 0.2500 0.7500 0.3558
3 S 0.2500 0.2500 0.8499



LiPb2S | PBE-GGA | relaxed

Volume = 29.66 A^3/atom
Spin magnetization = 0.0 Bohr magnetons per cell
Formation energy (no corrections) = -238 meV/atom

Unit cell a=9.9723 b=9.9723 c=4.7721 alpha=90.00 beta=90.00 gamma=90.00
Space group I-42d (No. 122)
One atom of each set of equivalent atoms:
1 Li 0.0000 0.0000 0.0000
2 Pb 0.1440 0.7500 0.6250
3 S 0.0000 0.0000 0.5000



LiPb5S5 | PBE-GGA | relaxed

Volume = 26.76 A^3/atom
Spin magnetization = 0.0 Bohr magnetons per cell
Formation energy (no corrections) = -515 meV/atom

Unit cell a=13.0561 b=5.9175 c=8.0608 alpha=90.00 beta=109.02 gamma=90.00
Space group C2/m (No. 12)
One atom of each set of equivalent atoms:
1 Li 0.0000 0.0000 0.0000
2 Pb 0.0000 0.0000 0.5000
3 Pb 0.1609 0.5000 0.3328
4 Pb 0.1635 0.5000 0.8278
5 S 0.0000 0.5000 0.0000
6 S 0.1525 0.0000 0.3084
7 S 0.1787 0.0000 0.8366



LiPbS | PBE-GGA | relaxed

Volume = 22.53 A^3/atom
Spin magnetization = 0.0 Bohr magnetons per cell
Formation energy (no corrections) = -668 meV/atom
E above lowest polymorph = 28.5 meV/atom

Unit cell a=3.9595 b=4.1290 c=16.5366 alpha=90.00 beta=90.00 gamma=90.00
Space group Amm2 (No. 38)
One atom of each set of equivalent atoms:
1 Li 0.0000 0.0000 0.0000
2 Li 0.5000 0.0000 0.4891
3 Pb 0.0000 0.0000 0.3316
4 Pb 0.5000 0.0000 0.7006
5 S 0.0000 0.0000 0.5715
6 S 0.5000 0.0000 0.9013



Li2PbS | PBE-GGA | relaxed

Volume = 20.94 A^3/atom
Spin magnetization = 0.0 Bohr magnetons per cell
Formation energy (no corrections) = -585 meV/atom
E above lowest polymorph = 0.0 meV/atom

Unit cell a=7.4333 b=7.4333 c=6.0647 alpha=90.00 beta=90.00 gamma=90.00
Space group I-42d (No. 122)
One atom of each set of equivalent atoms:
1 Li 0.1634 0.7500 0.1250
2 Pb 0.0000 0.0000 0.5000
3 S 0.0000 0.0000 0.0000



LiPbS | PBE-GGA | relaxed

Volume = 22.58 A^3/atom
Spin magnetization = 0.0 Bohr magnetons per cell
Formation energy (no corrections) = -591 meV/atom
E above lowest polymorph = 105.6 meV/atom

Unit cell a=6.4712 b=6.4712 c=6.4712 alpha=90.00 beta=90.00 gamma=90.00
Space group P2_13 (No. 198)
One atom of each set of equivalent atoms:
1 Li 0.1672 0.1672 0.1672
2 Pb 0.1436 0.3564 0.6436
3 S 0.1164 0.8836 0.3836



LiPbS | PBE-GGA | relaxed

Volume = 26.49 A^3/atom
Spin magnetization = 0.0 Bohr magnetons per cell
Formation energy (no corrections) = -697 meV/atom
E above lowest polymorph = 0.0 meV/atom

Unit cell a=4.3825 b=4.5738 c=7.9296 alpha=90.00 beta=90.00 gamma=90.00
Space group Pmmn (No. 59, origin choice 2)
One atom of each set of equivalent atoms:
1 Li 0.2500 0.2500 0.0069
2 Pb 0.2500 0.7500 0.4574
3 S 0.2500 0.7500 0.1366



LiPbS | PBE-GGA | relaxed

Volume = 23.03 A^3/atom
Spin magnetization = 0.0 Bohr magnetons per cell
Formation energy (no corrections) = -662 meV/atom
E above lowest polymorph = 35.0 meV/atom

Unit cell a=3.7989 b=4.0555 c=10.1569 alpha=86.90 beta=89.89 gamma=62.21
Space group P-1 (No. 2)
One atom of each set of equivalent atoms:
1 Li 0.1450 0.2133 0.4117
2 Pb 0.3853 0.7341 0.1388
3 S 0.1779 0.1417 0.6597



LiPbS | PBE-GGA | relaxed

Volume = 25.07 A^3/atom
Spin magnetization = 0.0 Bohr magnetons per cell
Formation energy (no corrections) = -656 meV/atom
E above lowest polymorph = 40.9 meV/atom

Unit cell a=13.5398 b=3.9323 c=5.7409 alpha=90.00 beta=100.21 gamma=90.00
Space group Cm (No. 8)
One atom of each set of equivalent atoms:
1 Li 0.0000 0.0000 0.0000
2 Li 0.0313 0.5000 0.4967
3 Pb 0.2589 0.0000 0.0704
4 Pb 0.2785 0.5000 0.5757
5 S 0.1124 0.0000 0.3753
6 S 0.4293 0.0000 0.7978



LiPbS | PBE-GGA | relaxed

Volume = 24.49 A^3/atom
Spin magnetization = 0.0 Bohr magnetons per cell
Formation energy (no corrections) = -555 meV/atom
E above lowest polymorph = 141.5 meV/atom

Unit cell a=3.4892 b=3.4892 c=12.0709 alpha=90.00 beta=90.00 gamma=90.00
Space group I4mm (No. 107)
One atom of each set of equivalent atoms:
1 Li 0.0000 0.0000 0.0000
2 Pb 0.0000 0.0000 0.7181
3 S 0.0000 0.0000 0.5041



Li2PbS | PBE-GGA | relaxed

Volume = 19.37 A^3/atom
Spin magnetization = 0.0 Bohr magnetons per cell
Formation energy (no corrections) = -316 meV/atom
E above lowest polymorph = 269.1 meV/atom

Unit cell a=6.7673 b=6.7673 c=6.7673 alpha=90.00 beta=90.00 gamma=90.00
Space group Fm-3m (No. 225)
One atom of each set of equivalent atoms:
1 Li 0.2500 0.2500 0.2500
2 Pb 0.0000 0.0000 0.0000
3 S 0.0000 0.0000 0.5000



Li3PbS | PBE-GGA | relaxed

Volume = 27.95 A^3/atom
Spin magnetization = 2.7 Bohr magnetons per cell
Formation energy (no corrections) = 295 meV/atom
E above lowest polymorph = 898.6 meV/atom

Unit cell a=5.1897 b=5.1897 c=5.1897 alpha=90.00 beta=90.00 gamma=90.00
Space group Pm-3m (No. 221)
One atom of each set of equivalent atoms:
1 Li 0.0000 0.0000 0.5000
2 Pb 0.0000 0.0000 0.0000
3 S 0.5000 0.5000 0.5000



LiPb3S | PBE-GGA | relaxed

Volume = 26.84 A^3/atom
Spin magnetization = 0.0 Bohr magnetons per cell
Formation energy (no corrections) = 189 meV/atom
E above lowest polymorph = 91.2 meV/atom

Unit cell a=5.1195 b=5.1195 c=5.1195 alpha=90.00 beta=90.00 gamma=90.00
Space group Pm-3m (No. 221)
One atom of each set of equivalent atoms:
1 Li 0.0000 0.0000 0.0000
2 Pb 0.0000 0.0000 0.5000
3 S 0.5000 0.5000 0.5000



Li3PbS | PBE-GGA | relaxed

Volume = 20.25 A^3/atom
Spin magnetization = 0.0 Bohr magnetons per cell
Formation energy (no corrections) = -603 meV/atom
E above lowest polymorph = 0.0 meV/atom

Unit cell a=4.6606 b=4.6606 c=4.6606 alpha=90.00 beta=90.00 gamma=90.00
Space group Pm-3m (No. 221)
One atom of each set of equivalent atoms:
1 Li 0.0000 0.0000 0.5000
2 Pb 0.5000 0.5000 0.5000
3 S 0.0000 0.0000 0.0000



Li2Pb3S4 | PBE-GGA | relaxed

Volume = 23.75 A^3/atom
Spin magnetization = 0.0 Bohr magnetons per cell
Formation energy (no corrections) = -756 meV/atom
E above lowest polymorph = 0.0 meV/atom

Unit cell a=13.6055 b=4.1606 c=9.6666 alpha=90.00 beta=128.64 gamma=90.00
Space group C2/m (No. 12)
One atom of each set of equivalent atoms:
1 Li 0.1939 0.0000 0.3634
2 Pb 0.0000 0.5000 0.0000
3 Pb 0.1088 0.0000 0.7511
4 S 0.0884 0.5000 0.3652
5 S 0.1887 0.0000 0.0968



Li2Pb2S3 | PBE-GGA | relaxed

Volume = 23.62 A^3/atom
Spin magnetization = 0.0 Bohr magnetons per cell
Formation energy (no corrections) = -850 meV/atom
E above lowest polymorph = 0.0 meV/atom

Unit cell a=13.5212 b=4.1861 c=6.6296 alpha=90.00 beta=118.21 gamma=90.00
Space group C2/m (No. 12)
One atom of each set of equivalent atoms:
1 Li 0.1902 0.0000 0.0561
2 Pb 0.0957 0.5000 0.3534
3 S 0.0000 0.0000 0.0000
4 S 0.2236 0.0000 0.7210



| no. | calculated density (g/cm³) |
| --- | --- |
| 1 | 5.305 |
| 2 | 6.058 |
| 3 | 5.802 |
| 4 | 6.654 |
| 5 | 6.105 |
| 6 | 6.346 |
| 7 | 6.787 |
| 8 | 6.049 |
| 9 | 5.018 |
| 10 | 6.035 |
| 11 | 5.144 |
| 12 | 5.917 |
| 13 | 5.436 |
| 14 | 5.564 |
| 15 | 5.425 |
| 16 | 3.090 |
| 17 | 8.176 |
| 18 | 4.266 |
| 19 | 5.934 |
| 20 | 5.268 |